A geometry-optimized AlTlZnF6 structure, computed with GGA-PBE.

Uncorrected energy ... -87.44 eV for the cell shown
Space group ... Imma (74)

Geometry as POSCAR:
```
AlTlZnF6
1.0
7.2458 0.0000 0.0000
0.0000 7.1607 0.0000
-3.6229 -3.5803 5.1050
Al Tl Zn F
2 2 2 12
direct
0.5000 0.5000 0.0000
0.5000 0.0000 0.0000
0.8864 0.6364 0.7727
0.1136 0.3636 0.2273
0.5000 0.0000 0.5000
0.0000 0.0000 0.5000
0.4583 0.7083 0.9165
0.8393 0.0893 0.6787
0.8009 0.0866 0.2444
0.4435 0.6578 0.2444
0.4435 0.0866 0.2444
0.8009 0.6578 0.2444
0.5417 0.2917 0.0835
0.1607 0.9107 0.3213
0.1991 0.9134 0.7556
0.5565 0.3422 0.7556
0.5565 0.9134 0.7556
0.1991 0.3422 0.7556
```